# 1
PBE Sr3CuN3, relaxed; E_form (uncorrected) = -0.30 eV/atom; DOS at the Fermi energy = 7.3 states/eV/cell; space group = P6_3/m (176); E_tot = -72.46 eV per cell
1.0
7.615 0.000 0.000
-3.808 6.595 0.000
0.000 0.000 5.343
Sr Cu N
6 2 6
direct
0.074 0.362 0.250 Sr
0.288 0.926 0.250 Sr
0.362 0.288 0.750 Sr
0.638 0.712 0.250 Sr
0.712 0.074 0.750 Sr
0.926 0.638 0.750 Sr
0.333 0.667 0.750 Cu
0.667 0.333 0.250 Cu
0.098 0.404 0.750 N
0.306 0.902 0.750 N
0.404 0.306 0.250 N
0.596 0.694 0.750 N
0.694 0.098 0.250 N
0.902 0.596 0.250 N



# 2
PBE Sr2CuN, relaxed; E_form (uncorrected) = -0.10 eV/atom; DOS at the Fermi energy = 0.0 states/eV/cell; space group = I-42d (122); E_tot = -32.35 eV per cell
1.0
-3.636 3.636 4.197
3.636 -3.636 4.197
3.636 3.636 -4.197
Sr Cu N
4 2 2
direct
0.045 0.625 0.920 Sr
0.375 0.295 0.420 Sr
0.705 0.125 0.080 Sr
0.875 0.955 0.580 Sr
0.250 0.750 0.500 Cu
0.500 0.500 0.000 Cu
0.000 0.000 0.000 N
0.750 0.250 0.500 N



What is the E_form (uncorrected) in the second record?
-0.10 eV/atom